AcPrSi3 | PBE | optimized geometry

a = 12.869 Å, b = 12.869 Å, c = 4.066 Å
α = 90.00°, β = 90.00°, γ = 159.31°
Element x y z (fractional)
Si1 0.620 0.380 0.250
Si2 0.380 0.620 0.750
Si3 0.475 0.525 0.750
Si4 0.676 0.324 0.750
Si5 0.324 0.676 0.250
Si6 0.525 0.475 0.250
Ac1 0.070 0.930 0.750
Ac2 0.930 0.070 0.250
Pr1 0.798 0.202 0.750
Pr2 0.202 0.798 0.250

Results
- DFT total energy: -56.68 eV for the cell shown

---

PmH2Se | PBE | optimized geometry

a = 4.300 Å, b = 4.300 Å, c = 4.300 Å
α = 120.55°, β = 120.55°, γ = 89.05°
Element x y z (fractional)
Se1 0.500 0.500 0.000
H1 0.750 0.250 0.500
H2 0.250 0.750 0.500
Pm1 0.000 0.000 0.000

Results
- DFT total energy: -16.79 eV for the cell shown

---

LaPrNdGdZn12Ge6 | PBE | optimized geometry

a = 7.668 Å, b = 4.101 Å, c = 13.283 Å
α = 90.00°, β = 90.01°, γ = 90.00°
Element x y z (fractional)
Zn1 0.402 0.000 0.594
Zn2 0.144 0.500 0.855
Zn3 0.645 0.500 0.644
Zn4 0.406 0.000 0.405
Zn5 0.210 0.500 0.500
Zn6 0.689 0.000 0.502
Zn7 0.189 0.000 0.001
Zn8 0.144 0.500 0.145
Zn9 0.905 0.000 0.094
Zn10 0.712 0.500 0.000
Zn11 0.645 0.500 0.356
Zn12 0.909 0.000 0.904
Ge1 0.813 0.500 0.807
Ge2 0.808 0.500 0.191
Ge3 0.883 0.500 0.503
Ge4 0.381 0.500 0.001
Ge5 0.310 0.500 0.309
Ge6 0.305 0.500 0.690
Gd1 0.000 0.000 0.666
Nd1 0.500 0.000 0.167
Pr1 0.000 0.000 0.334
La1 0.500 0.000 0.833

Results
- DFT total energy: -71.36 eV for the cell shown

---

ZnSeO4 | PBE | optimized geometry

a = 4.876 Å, b = 4.876 Å, c = 6.520 Å
α = 90.00°, β = 90.00°, γ = 111.35°
Element x y z (fractional)
O1 0.249 0.751 0.967
O2 0.733 0.770 0.250
O3 0.751 0.249 0.467
O4 0.249 0.751 0.533
O5 0.267 0.230 0.750
O6 0.230 0.267 0.250
O7 0.770 0.733 0.750
O8 0.751 0.249 0.033
Se1 0.857 0.143 0.250
Se2 0.143 0.857 0.750
Zn1 0.500 0.500 0.000
Zn2 0.500 0.500 0.500

Results
- DFT total energy: -59.59 eV for the cell shown

---

TeMoPd2 | PBE | optimized geometry

a = 4.571 Å, b = 4.571 Å, c = 4.571 Å
α = 60.00°, β = 60.00°, γ = 60.00°
Element x y z (fractional)
Te1 0.500 0.500 0.500
Mo1 0.250 0.250 0.250
Pd1 0.750 0.750 0.750
Pd2 0.000 0.000 0.000

Results
- DFT total energy: -24.15 eV for the cell shown

---

CuAg9 | PBE | optimized geometry

a = 5.043 Å, b = 5.044 Å, c = 7.686 Å
α = 109.00°, β = 102.60°, γ = 99.64°
Element x y z (fractional)
Ag1 0.500 0.000 0.500
Ag2 0.707 0.403 0.903
Ag3 0.197 0.395 0.395
Ag4 0.900 0.803 0.296
Ag5 0.597 0.196 0.195
Ag6 0.293 0.597 0.097
Ag7 0.803 0.605 0.605
Ag8 0.403 0.804 0.805
Ag9 0.100 0.197 0.704
Cu1 0.000 0.000 0.000

Results
- E above lowest polymorph: 13 meV/atom
- ΔH_f (0 K): 3.02 kJ/mol of atoms

---

HfTaSiNi | PBE | optimized geometry

a = 4.453 Å, b = 4.453 Å, c = 4.453 Å
α = 60.00°, β = 60.00°, γ = 60.00°
Element x y z (fractional)
Si1 0.000 0.000 0.000
Ta1 0.250 0.250 0.250
Ni1 0.750 0.750 0.750
Hf1 0.500 0.500 0.500

Results
- E above lowest polymorph: 0 meV/atom

---

LiIn2AgS4 | PBE | optimized geometry

a = 7.041 Å, b = 7.041 Å, c = 7.041 Å
α = 131.18°, β = 131.18°, γ = 71.52°
Element x y z (fractional)
S1 0.388 0.877 0.006
S2 0.619 0.612 0.489
S3 0.871 0.381 0.994
S4 0.123 0.129 0.511
In1 0.250 0.750 0.500
In2 0.500 0.500 0.000
Li1 0.750 0.250 0.500
Ag1 0.000 0.000 0.000

Results
- DFT total energy: -32.23 eV for the cell shown

---

ZrSc2Al3NiAu2 | PBE | optimized geometry

a = 3.865 Å, b = 6.964 Å, c = 6.964 Å
α = 120.83°, β = 90.00°, γ = 90.00°
Element x y z (fractional)
Al1 0.500 0.762 0.762
Al2 0.500 0.234 0.001
Al3 0.500 0.001 0.234
Zr1 0.000 0.398 0.398
Au1 0.500 0.331 0.670
Au2 0.500 0.670 0.331
Ni1 0.000 0.000 0.000
Sc1 0.000 0.604 0.000
Sc2 0.000 0.000 0.604

Results
- DFT total energy: -50.97 eV for the cell shown

---

Lu2B2O5 | PBE | optimized geometry

a = 6.796 Å, b = 3.354 Å, c = 3.354 Å
α = 90.00°, β = 90.00°, γ = 90.00°
Element x y z (fractional)
O1 0.223 0.000 0.500
O2 0.777 0.500 0.000
O3 0.223 0.500 0.000
O4 0.777 0.000 0.500
O5 0.500 0.500 0.500
B1 0.188 0.500 0.500
B2 0.812 0.500 0.500
Lu1 0.000 0.000 0.000
Lu2 0.500 0.000 0.000

Results
- E above lowest polymorph: 0 meV/atom

---

PrScPb | PBE | optimized geometry

a = 5.114 Å, b = 5.114 Å, c = 5.114 Å
α = 60.00°, β = 60.00°, γ = 60.00°
Element x y z (fractional)
Pr1 0.750 0.750 0.750
Sc1 0.000 0.000 0.000
Pb1 0.250 0.250 0.250

Results
- E above lowest polymorph: 643 meV/atom

---

Dy2Er4LuTe2Ir2 | PBE | optimized geometry

a = 9.337 Å, b = 9.337 Å, c = 9.337 Å
α = 155.81°, β = 66.32°, γ = 119.31°
Element x y z (fractional)
Lu1 0.683 0.683 0.000
Dy1 0.370 0.054 0.316
Dy2 0.739 0.054 0.684
Ir1 0.517 0.754 0.762
Ir2 0.992 0.754 0.238
Te1 0.418 0.918 0.500
Te2 0.019 0.019 0.000
Er1 0.060 0.414 0.646
Er2 0.767 0.414 0.354
Er3 0.396 0.265 0.132
Er4 0.133 0.265 0.868

Results
- E above lowest polymorph: 10 meV/atom

---

KAlGa2Pt | PBE | optimized geometry

a = 6.443 Å, b = 6.443 Å, c = 6.443 Å
α = 140.92°, β = 140.92°, γ = 56.45°
Element x y z (fractional)
Al1 0.000 0.000 0.000
Ga1 0.871 0.371 0.500
Ga2 0.629 0.129 0.500
K1 0.250 0.750 0.500
Pt1 0.500 0.500 0.000

Results
- DFT total energy: -18.32 eV for the cell shown

---

Ho2Er2InNi2Ge4 | PBE | optimized geometry

a = 8.006 Å, b = 8.006 Å, c = 7.022 Å
α = 107.98°, β = 107.98°, γ = 30.58°
Element x y z (fractional)
Ni1 0.218 0.218 0.641
Ni2 0.782 0.782 0.359
Er1 0.344 0.344 0.063
Er2 0.656 0.656 0.937
Ge1 0.797 0.797 0.733
Ge2 0.934 0.934 0.337
Ge3 0.066 0.066 0.663
Ge4 0.203 0.203 0.267
In1 0.000 0.000 0.000
Ho1 0.591 0.591 0.391
Ho2 0.409 0.409 0.609

Results
- E above lowest polymorph: 0 meV/atom

---

Sc2CuSi2Ag | PBE | optimized geometry

a = 7.420 Å, b = 4.249 Å, c = 14.143 Å
α = 90.00°, β = 99.47°, γ = 90.00°
Element x y z (fractional)
Si1 0.551 0.500 0.684
Si2 0.563 0.000 0.188
Si3 0.303 0.500 0.931
Si4 0.816 0.500 0.445
Si5 0.068 0.000 0.685
Si6 0.822 0.000 0.939
Si7 0.062 0.500 0.182
Si8 0.314 0.000 0.444
Sc1 0.699 0.500 0.061
Sc2 0.177 0.000 0.058
Sc3 0.441 0.500 0.321
Sc4 0.950 0.500 0.815
Sc5 0.684 0.000 0.558
Sc6 0.188 0.500 0.563
Sc7 0.941 0.000 0.322
Sc8 0.422 0.000 0.805
Ag1 0.499 0.000 0.997
Ag2 0.249 0.000 0.250
Ag3 0.752 0.500 0.252
Ag4 0.749 0.000 0.749
Cu1 0.499 0.500 0.504
Cu2 0.248 0.500 0.747
Cu3 0.002 0.500 0.998
Cu4 0.003 0.000 0.505

Results
- DFT total energy: -129.84 eV for the cell shown

---

TlAuNO | PBE | optimized geometry

a = 6.220 Å, b = 8.170 Å, c = 5.272 Å
α = 90.00°, β = 90.00°, γ = 90.00°
Element x y z (fractional)
Tl1 0.540 0.360 0.993
Tl2 0.040 0.640 0.993
Tl3 0.960 0.360 0.493
Tl4 0.460 0.640 0.493
Au1 0.568 0.955 0.000
Au2 0.932 0.955 0.500
Au3 0.432 0.045 0.500
Au4 0.068 0.045 0.000
O1 0.392 0.604 0.075
O2 0.108 0.604 0.575
O3 0.892 0.396 0.075
O4 0.608 0.396 0.575
N1 0.637 0.860 0.633
N2 0.863 0.860 0.133
N3 0.137 0.140 0.633
N4 0.363 0.140 0.133

Results
- E above lowest polymorph: 15 meV/atom

---

NdAgNO | PBE | optimized geometry

a = 5.072 Å, b = 5.072 Å, c = 4.645 Å
α = 90.00°, β = 90.00°, γ = 90.00°
Element x y z (fractional)
Nd1 0.000 0.000 0.500
Nd2 0.500 0.500 0.500
O1 0.500 0.500 0.000
O2 0.000 0.000 0.000
N1 0.500 0.000 0.500
N2 0.000 0.500 0.500
Ag1 0.000 0.500 0.000
Ag2 0.500 0.000 0.000

Results
- E above lowest polymorph: 25 meV/atom

---

YBeCu2 | PBE | optimized geometry

a = 4.418 Å, b = 4.418 Å, c = 4.418 Å
α = 60.00°, β = 60.00°, γ = 60.00°
Element x y z (fractional)
Cu1 0.750 0.750 0.750
Cu2 0.000 0.000 0.000
Y1 0.250 0.250 0.250
Be1 0.500 0.500 0.500

Results
- DFT total energy: -17.35 eV for the cell shown

---

HoBeNi | PBE | optimized geometry

a = 4.168 Å, b = 4.168 Å, c = 4.168 Å
α = 60.00°, β = 60.00°, γ = 60.00°
Element x y z (fractional)
Ni1 0.750 0.750 0.750
Ho1 0.250 0.250 0.250
Be1 0.000 0.000 0.000

Results
- E above lowest polymorph: 0 meV/atom

---

BaNdAuO3 | PBE | optimized geometry

a = 7.089 Å, b = 7.089 Å, c = 8.823 Å
α = 90.00°, β = 90.00°, γ = 31.62°
Element x y z (fractional)
O1 0.388 0.388 0.021
O2 0.612 0.612 0.979
O3 0.388 0.388 0.479
O4 0.612 0.612 0.521
O5 0.934 0.934 0.750
O6 0.066 0.066 0.250
Ba1 0.687 0.687 0.250
Ba2 0.313 0.313 0.750
Nd1 0.000 0.000 0.000
Nd2 0.000 0.000 0.500
Au1 0.387 0.387 0.250
Au2 0.613 0.613 0.750

Results
- DFT total energy: -76.52 eV for the cell shown